VASP calculation (PBE-GGA) on a geometry-optimized K2NiMo structure.

abc: 10.5008 10.5008 4.1498
angles: 78.55 78.55 15.61
Each line ends with the local moment (μB).
Sites, in units of the cell vectors:
1 K 0.1065 0.1065 0.8940  0.00
2 K 0.3935 0.3935 0.6060  0.00
3 Ni 0.7500 0.7500 0.7500  -0.03
4 Mo 0.2500 0.2500 0.2500  0.63

Summary:
SG	C2/m (12)
E above lowest polymorph	0.032	eV/atom
VASP energy	-3.892	eV per atom
ΔH_f (0 K)	3.2	eV/f.u.
DOS(E_F)	2.502	states/eV/f.u.